# 1
## Ho3Sc9In2 (PBE)

Data for Ho3Sc9In2 after structural relaxation.

Summary:
The calculation puts the total energy at -153.090 eV per cell. As for the magnetic moment: 0.00 μB/atom. The value obtained for the energy of formation from the pure elements is -0.03 eV per atom. As for the density of states at the Fermi level: 38.517 states/eV/cell.

CIF file:
```
data_Ho3Sc9In2
_symmetry_space_group_name_H-M 'I m m m'
_symmetry_Int_Tables_number 71
_symmetry_space_group_name_Hall '-I 2 2'
_cell_length_a 4.9520
_cell_length_b 11.7115
_cell_length_c 12.4907
_cell_angle_alpha 90.00
_cell_angle_beta 90.00
_cell_angle_gamma 90.00
loop_
_atom_site_label
_atom_site_type_symbol
_atom_site_fract_x
_atom_site_fract_y
_atom_site_fract_z
_atom_site_occupancy
Ho1 Ho 0.0000 0.0000 0.0000 1
Ho2 Ho 0.0000 0.2923 0.0000 1
Sc1 Sc 0.0000 0.0000 0.5000 1
Sc2 Sc 0.0000 0.1347 0.2628 1
Sc3 Sc 0.0000 0.3649 0.3829 1
In1 In 0.0000 0.5000 0.1642 1
```

***

# 2
## Ho2ScIn2 (PBE)

Data for Ho2ScIn2 after structural relaxation.

Summary:
The calculation puts the total energy at -45.594 eV per cell. As for the magnetic moment: 0.00 μB/atom. Its polymorph energy (0 for the lowest one) is 0 meV/atom. The value obtained for the energy of formation from the pure elements is -0.37 eV per atom. As for the density of states at the Fermi level: 10.368 states/eV/cell.

CIF file:
```
data_Ho2ScIn2
_symmetry_space_group_name_H-M 'P 4/m b m'
_symmetry_Int_Tables_number 127
_symmetry_space_group_name_Hall '-P 4 2ab'
_cell_length_a 7.8580
_cell_length_b 7.8580
_cell_length_c 4.3980
_cell_angle_alpha 90.00
_cell_angle_beta 90.00
_cell_angle_gamma 90.00
loop_
_atom_site_label
_atom_site_type_symbol
_atom_site_fract_x
_atom_site_fract_y
_atom_site_fract_z
_atom_site_occupancy
Ho1 Ho 0.1727 0.3273 0.0000 1
Sc1 Sc 0.0000 0.0000 0.5000 1
In1 In 0.1306 0.6306 0.5000 1
```